1.
Density functional theory data (PBE) for an optimized crystal structure of Dy2VCu.

POSCAR file:
```
Dy2VCu
1.0
3.5530 0.0000 0.0000
0.0000 3.5530 0.0000
0.0000 0.0000 6.9095
V Cu Dy
1 1 2
direct
0.5000 0.5000 0.0000
0.5000 0.5000 0.5000
0.0000 0.0000 0.7474
0.0000 0.0000 0.2526
```

Results
Its space-group type is P4/mmm. The polymorph energy (0 for the lowest one) comes out at 0.000 eV/atom.

***

2.
Density functional theory data (PBE) for an optimized crystal structure of DyVCu4.

POSCAR file:
```
DyVCu4
1.0
5.0576 0.0000 0.0000
2.5288 4.3800 0.0000
2.5288 1.4600 4.1295
V Cu Dy
1 4 1
direct
0.2500 0.2500 0.2500
0.6240 0.6240 0.1280
0.6240 0.1280 0.6240
0.6240 0.6240 0.6240
0.1280 0.6240 0.6240
0.0000 0.0000 0.0000
```

Results
Its space-group type is F-43m.

***

Number 1: total energy -5.52 eV/atom, calculated density 8.4 Mg/m³. Number 2: total energy -5.00 eV/atom, calculated density 8.5 Mg/m³.